PBE-GGA InSiTe2, relaxed; space-group type = No. 225; excess energy over the best structure of this formula in the dataset = 329 meV per atom; formation energy without anion corrections = 1.23 eV per formula unit
1.0
-2.2589 -2.8713 3.7476
-5.1775 0.2476 0.7234
-3.0201 -4.0756 -1.2884
In Te Si
1 2 1
Direct
0.5000 0.5000 0.5000 In
0.7500 0.7500 0.7500 Te
0.2500 0.2500 0.2500 Te
0.0000 0.0000 0.0000 Si


PBE-GGA In2SiTe, relaxed; space-group type = No. 65; excess energy over the best structure of this formula in the dataset = 382 meV per atom; formation energy without anion corrections = 1.26 eV per formula unit
1.0
-3.1405 5.0672 1.4222
-0.0627 -1.7239 -5.8810
-2.5303 -1.7171 0.5303
In Si Te
2 1 1
Direct
0.5000 0.5000 0.0000 In
0.0000 0.0000 0.0000 In
0.5000 0.0000 0.5000 Si
0.0000 0.5000 0.5000 Te


PBE-GGA In2SiTe, relaxed; space-group type = No. 225; excess energy over the best structure of this formula in the dataset = 411 meV per atom; formation energy without anion corrections = 1.37 eV per formula unit
1.0
0.0000 3.6972 3.6972
3.6972 0.0000 3.6972
3.6972 3.6972 0.0000
In Si Te
2 1 1
Direct
0.2500 0.2500 0.2500 In
0.7500 0.7500 0.7500 In
0.0000 0.0000 0.0000 Si
0.5000 0.5000 0.5000 Te


PBE-GGA In2SiTe, relaxed; space-group type = No. 47; excess energy over the best structure of this formula in the dataset = 355 meV per atom; formation energy without anion corrections = 1.15 eV per formula unit
1.0
3.7940 0.0000 0.0000
0.0000 4.8012 0.0000
0.0000 0.0000 5.6458
Te Si In
1 1 2
Direct
0.0000 0.5000 0.5000 Te
0.5000 0.0000 0.5000 Si
0.5000 0.5000 0.0000 In
0.0000 0.0000 0.0000 In


PBE-GGA In3SiTe, relaxed; space-group type = No. 221; excess energy over the best structure of this formula in the dataset = 767 meV per atom; formation energy without anion corrections = 4.64 eV per formula unit
1.0
5.8320 0.0000 0.0000
0.0000 5.8320 0.0000
0.0000 0.0000 5.8320
Si Te In
1 1 3
Direct
0.5000 0.5000 0.5000 Si
0.0000 0.0000 0.0000 Te
0.0000 0.0000 0.5000 In
0.0000 0.5000 0.0000 In
0.5000 0.0000 0.0000 In


PBE-GGA InSiTe2, relaxed; space-group type = No. 99; excess energy over the best structure of this formula in the dataset = 33 meV per atom; formation energy without anion corrections = 0.04 eV per formula unit
1.0
-1.7671 -2.9246 2.5548
3.6842 -2.1558 0.0804
1.8191 3.2963 5.0316
Si In Te
1 1 2
Direct
0.5000 0.5000 0.8968 Si
0.0000 0.0000 0.4019 In
0.0000 0.0000 0.8763 Te
0.5000 0.5000 0.3249 Te


no.,total magnetization (μB/f.u.)
1,0.00
2,0.00
3,0.00
4,0.00
5,0.72
6,0.00